10
Lattice="7.6303 0.0000 0.0000 0.0000 7.6303 0.0000 0.0000 0.0000 4.1583" Properties=species:S:1:pos:R:3 comment="Ca2ScAs2 | Alexandria | GGA-PBE | optimized geometry" sg="P4/mbm (127)" delta_e_f_ev_per_atom=-1.024 de_polymorph_mev_per_atom=33 energy_ev_per_atom=-4.951 pbc="T T T"
Ca 1.1110 2.7041 0.0000
Ca 2.7041 6.5193 0.0000
Ca 4.9262 1.1110 0.0000
Ca 6.5193 4.9262 0.0000
Sc 0.0000 0.0000 2.0791
Sc 3.8152 3.8152 2.0791
As 1.2697 5.0848 2.0791
As 2.5455 1.2697 2.0791
As 5.0848 6.3606 2.0791
As 6.3606 2.5455 2.0791

***

4
Lattice="0.0000 3.5927 3.5927 3.5927 0.0000 3.5927 3.5927 3.5927 0.0000" Properties=species:S:1:pos:R:3 comment="CsIrAu2 | Alexandria | GGA-PBE | optimized geometry" sg="Fm-3m (225)" delta_e_f_ev_per_atom=1.075 energy_ev_per_atom=-2.992 pbc="T T T"
Cs 0.0000 0.0000 0.0000
Ir 3.5927 3.5927 3.5927
Au 1.7964 1.7964 1.7964
Au 5.3891 5.3891 5.3891

***

4
Lattice="1.8390 1.0618 9.8123 -1.8390 1.0618 9.8123 0.0000 -2.1235 9.8123" Properties=species:S:1:pos:R:3 comment="MgScBr2 | Alexandria | GGA-PBE | optimized geometry" formation_energy_uncorrected_ev_per_atom=-0.982 sg="R3m (160)" de_polymorph_mev_per_atom=0 energy_ev_per_atom=-3.800 pbc="T T T"
Mg 0.0000 0.0000 0.0000
Sc 0.0000 0.0000 7.2311
Br 0.0000 0.0000 15.3263
Br 0.0000 0.0000 21.2549

***

4
Lattice="0.0000 3.6126 3.6126 3.6126 0.0000 3.6126 3.6126 3.6126 0.0000" Properties=species:S:1:pos:R:3 comment="LiPrNdIr | Alexandria | GGA-PBE | optimized geometry" sg="F-43m (216)" delta_e_f_ev_per_atom=-0.378 energy_ev_per_atom=-5.458 pbc="T T T"
Li 0.0000 0.0000 0.0000
Pr 1.8063 1.8063 1.8063
Nd 5.4189 5.4189 5.4189
Ir 3.6126 3.6126 3.6126

***

5
Lattice="3.9506 0.0000 0.0000 0.0000 3.9506 0.0000 0.0000 0.0000 3.8613" Properties=species:S:1:pos:R:3 comment="CrMo2HRu | Alexandria | GGA-PBE | optimized geometry" sg="P4/mmm (123)" de_polymorph_mev_per_atom=39 energy_ev_per_atom=-8.603 pbc="T T T"
Cr 0.0000 0.0000 0.0000
Mo 0.0000 1.9753 1.9306
Mo 1.9753 0.0000 1.9306
H 1.9753 1.9753 1.9306
Ru 1.9753 1.9753 0.0000

***

4
Lattice="1.3665 0.7890 8.7740 -1.3665 0.7890 8.7740 0.0000 -1.5779 8.7740" Properties=species:S:1:pos:R:3 comment="FeReIr2 | Alexandria | GGA-PBE | optimized geometry" sg="R3m (160)" delta_e_f_ev_per_atom=0.021 de_polymorph_mev_per_atom=164 energy_ev_per_atom=-9.637 pbc="T T T"
Fe 0.0000 0.0000 0.0000
Re 0.0000 0.0000 19.7429
Ir 0.0000 0.0000 6.6945
Ir 0.0000 0.0000 13.1405

***

3
Lattice="4.2705 0.0000 0.0000 -2.1352 3.6983 0.0000 0.0000 0.0000 3.6635" Properties=species:S:1:pos:R:3 comment="HgRuSe | Alexandria | GGA-PBE | optimized geometry" formation_energy_uncorrected_ev_per_atom=0.437 sg="P-6m2 (187)" de_polymorph_mev_per_atom=454 energy_ev_per_atom=-3.917 pbc="T T T"
Hg 0.0000 0.0000 0.0000
Ru 2.1352 1.2328 1.8318
Se 0.0000 2.4656 1.8318

***

11
Lattice="4.4732 -2.4635 0.0000 4.4732 2.4635 0.0000 -3.8166 0.0000 6.1246" Properties=species:S:1:pos:R:3 comment="KSi2H8 | Alexandria | GGA-PBE | optimized geometry" sg="C2/m (12)" energy_ev_per_atom=-3.485 pbc="T T T"
K 0.0000 0.0000 0.0000
Si -0.8660 0.0000 3.9766
Si 5.9958 0.0000 2.1480
H 2.1833 1.2108 1.5798
H -0.0275 0.0000 2.6935
H 0.3658 0.0000 4.9034
H 2.9465 1.2108 4.5448
H 2.1833 -1.2108 1.5798
H 4.7640 0.0000 1.2212
H 5.1573 0.0000 3.4311
H 2.9465 -1.2108 4.5448

***

6
Lattice="4.8311 0.0000 0.0000 -2.4156 4.1839 0.0000 0.0000 0.0000 6.1968" Properties=species:S:1:pos:R:3 comment="ZrCdAg | Alexandria | GGA-PBE | optimized geometry" sg="P-3m1 (164)" delta_e_f_ev_per_atom=0.054 energy_ev_per_atom=-4.050 pbc="T T T"
Zr 0.0000 2.7893 2.4171
Zr 2.4156 1.3946 3.7798
Cd 0.0000 2.7893 5.4589
Cd 2.4156 1.3946 0.7379
Ag 0.0000 0.0000 1.5957
Ag 0.0000 0.0000 4.6011

***

12
Lattice="5.6353 0.0000 0.0000 0.0000 5.7725 0.0000 0.0000 0.0000 5.8358" Properties=species:S:1:pos:R:3 comment="ZrAgB | Alexandria | GGA-PBE | optimized geometry" sg="Pnma (62)" delta_e_f_ev_per_atom=0.281 energy_ev_per_atom=-5.745 pbc="T T T"
Zr 0.8808 1.4431 1.0138
Zr 1.9369 4.3294 3.9317
Zr 3.6984 1.4431 1.9041
Zr 4.7545 4.3294 4.8220
Ag 1.3887 4.3294 1.0787
Ag 1.4289 1.4431 3.9966
Ag 4.2064 4.3294 1.8392
Ag 4.2466 1.4431 4.7571
B 0.0000 0.0000 2.9179
B 0.0000 2.8863 2.9179
B 2.8176 0.0000 0.0000
B 2.8176 2.8863 0.0000

***

5
Lattice="4.9647 0.0000 0.0000 0.0000 4.9647 0.0000 0.0000 0.0000 4.8495" Properties=species:S:1:pos:R:3 comment="MgBSbTe2 | Alexandria | GGA-PBE | optimized geometry" formation_energy_uncorrected_ev_per_atom=0.532 sg="P4/mmm (123)" de_polymorph_mev_per_atom=0 energy_ev_per_atom=-3.203 pbc="T T T"
Mg 0.0000 0.0000 0.0000
B 2.4824 2.4824 2.4247
Sb 2.4824 2.4824 0.0000
Te 0.0000 2.4824 2.4247
Te 2.4824 0.0000 2.4247

***

16
Lattice="1.9038 -6.0290 0.0000 1.9038 6.0290 0.0000 0.0000 0.0000 11.9279" Properties=species:S:1:pos:R:3 comment="AcTb2SbN4 | Alexandria | GGA-PBE | optimized geometry" formation_energy_uncorrected_ev_per_atom=-0.743 sg="Cmcm (63)" energy_ev_per_atom=-7.092 pbc="T T T"
Ac 1.9038 4.8094 8.9460
Ac 1.9038 -4.8094 2.9820
Tb 1.9038 1.5357 6.4316
Tb 1.9038 1.5357 11.4603
Tb 1.9038 -1.5357 0.4676
Tb 1.9038 -1.5357 5.4964
Sb 1.9038 4.1196 2.9820
Sb 1.9038 -4.1196 8.9460
N 0.0000 0.0000 0.0000
N 0.0000 0.0000 5.9640
N 1.9038 2.7004 1.4771
N 1.9038 2.7004 4.4869
N 1.9038 0.9394 8.9460
N 1.9038 -0.9394 2.9820
N 1.9038 -2.7004 7.4410
N 1.9038 -2.7004 10.4509

***

Result set for size of the total moment: 0.98 0.00 0.91 0.00 0.00 2.76 0.00 0.91 0.64 0.00 0.00 0.00 μB/f.u., one per record in the order listed.